Density functional theory data (GGA-PBEsol) for a relaxed TlSi2Rh crystal.

The space group is P2/m (No. 10) and the conventional cell measures 4.0643, 4.1118 and 4.6787 Å, with angles of 90.00, 103.43 and 90.00 degrees. The distinct sites, in fractional coordinates, are Tl at (0.0000, 0.0000, 0.0000), Si at (0.4386, 0.5000, 0.7428) and Rh at (0.5000, 0.0000, 0.5000).

The uncorrected formation energy comes out at 0.05 eV/atom. Its mass density is 7.94 Mg/m³.

Density functional theory data (GGA-PBEsol) for a relaxed TlSiRh2 crystal.

The space group is P2/m (No. 10) and the conventional cell measures 2.9130, 2.8977 and 7.4046 Å, with angles of 90.00, 99.21 and 90.00 degrees. The distinct sites, in fractional coordinates, are Tl at (0.0000, 0.0000, 0.0000), Si at (0.0000, 0.0000, 0.5000) and Rh at (0.4153, 0.5000, 0.3106).

The uncorrected formation energy comes out at -0.45 eV/atom. Its mass density is 11.80 Mg/m³.

Density functional theory data (GGA-PBEsol) for a relaxed TlSiRh2 crystal.

The space group is P2/m (No. 10) and the conventional cell measures 4.2682, 3.0776 and 5.2364 Å, with angles of 90.00, 113.06 and 90.00 degrees. The distinct sites, in fractional coordinates, are Tl at (0.0000, 0.0000, 0.0000), Si at (0.5000, 0.5000, 0.5000), Rh at (0.0000, 0.0000, 0.5000) and Rh at (0.5000, 0.5000, 0.0000).

The uncorrected formation energy comes out at -0.02 eV/atom. Its mass density is 11.50 Mg/m³.

Density functional theory data (GGA-PBEsol) for a relaxed Tl2SiRh crystal.

The space group is I4/mmm (No. 139) and the conventional cell measures 4.3122, 4.3122 and 8.1683 Å, with angles of 90.00, 90.00 and 90.00 degrees. The distinct sites, in fractional coordinates, are Tl at (0.0000, 0.5000, 0.2500), Si at (0.0000, 0.0000, 0.0000) and Rh at (0.0000, 0.0000, 0.5000).

The uncorrected formation energy comes out at 0.46 eV/atom. Its mass density is 11.80 Mg/m³.

Density functional theory data (GGA-PBEsol) for a relaxed TmSi2Rh2 crystal.

The space group is I4/mmm (No. 139) and the conventional cell measures 3.9896, 3.9896 and 9.8425 Å, with angles of 90.00, 90.00 and 90.00 degrees. The distinct sites, in fractional coordinates, are Tm at (0.0000, 0.0000, 0.0000), Si at (0.0000, 0.0000, 0.3795) and Rh at (0.0000, 0.5000, 0.2500).

The uncorrected formation energy comes out at -1.17 eV/atom. Its mass density is 9.13 Mg/m³.

Density functional theory data (GGA-PBEsol) for a relaxed SiRh3W crystal.

The space group is Pm-3m (No. 221) and the conventional cell measures 4.6262, 4.6262 and 4.6262 Å, with angles of 90.00, 90.00 and 90.00 degrees. The distinct sites, in fractional coordinates, are Si at (0.0000, 0.0000, 0.0000), Rh at (0.0000, 0.5000, 0.5000) and W at (0.5000, 0.5000, 0.5000).

The uncorrected formation energy comes out at 1.42 eV/atom. Its mass density is 8.73 Mg/m³.

Density functional theory data (GGA-PBEsol) for a relaxed Si2RhW crystal.

The space group is Pmm2 (No. 25) and the conventional cell measures 2.7722, 4.4929 and 4.3635 Å, with angles of 90.00, 90.00 and 90.00 degrees. The distinct sites, in fractional coordinates, are Si at (0.0000, 0.0000, 0.0000), Si at (0.5000, 0.5000, 0.2026), Rh at (0.5000, 0.0000, 0.4777) and W at (0.0000, 0.5000, 0.7066).

The uncorrected formation energy comes out at -0.35 eV/atom. The value obtained for the offset from the most stable computed form is 34 kJ/mol of formula units. Its mass density is 10.48 Mg/m³.

Density functional theory data (GGA-PBEsol) for a relaxed SiRhW3 crystal.

The space group is Pm-3m (No. 221) and the conventional cell measures 4.3937, 4.3937 and 4.3937 Å, with angles of 90.00, 90.00 and 90.00 degrees. The distinct sites, in fractional coordinates, are Si at (0.0000, 0.0000, 0.0000), Rh at (0.5000, 0.5000, 0.5000) and W at (0.0000, 0.0000, 0.5000).

The uncorrected formation energy comes out at 1.41 eV/atom. Its mass density is 13.36 Mg/m³.

Density functional theory data (GGA-PBEsol) for a relaxed Si2RhW crystal.

The space group is Cm (No. 8) and the conventional cell measures 9.0865, 2.7915 and 4.4174 Å, with angles of 90.00, 107.04 and 90.00 degrees. The distinct sites, in fractional coordinates, are Si at (0.0000, 0.0000, 0.0000), Si at (0.2438, 0.5000, 0.3697), Rh at (0.4887, 0.0000, 0.4802) and W at (0.2515, 0.0000, 0.8775).

The uncorrected formation energy comes out at -0.44 eV/atom. The value obtained for the offset from the most stable computed form is 0 kJ/mol of formula units. Its mass density is 10.63 Mg/m³.

Density functional theory data (GGA-PBEsol) for a relaxed YSi2Rh crystal.

The space group is R-3m (No. 166, hexagonal axes) and the conventional cell measures 4.0294, 4.0294 and 14.5711 Å, with angles of 90.00, 90.00 and 120.00 degrees. The distinct sites, in fractional coordinates, are Y at (0.0000, 0.0000, 0.0000), Si at (0.0000, 0.0000, 0.2122) and Rh at (0.0000, 0.0000, 0.5000).

The uncorrected formation energy comes out at -0.97 eV/atom. Its mass density is 6.03 Mg/m³.

Density functional theory data (GGA-PBEsol) for a relaxed YSiRh2 crystal.

The space group is P6_3/mmc (No. 194) and the conventional cell measures 5.4642, 5.4642 and 14.9986 Å, with angles of 90.00, 90.00 and 120.00 degrees. The distinct sites, in fractional coordinates, are Y at (0.3333, 0.6667, 0.0377), Y at (0.3333, 0.6667, 0.2500), Si at (0.0000, 0.0000, 0.0000), Si at (0.0000, 0.0000, 0.2500), Si at (0.3333, 0.6667, 0.7500) and Rh at (0.1667, 0.3335, 0.6303).

The uncorrected formation energy comes out at -1.06 eV/atom. Its mass density is 8.29 Mg/m³.

Density functional theory data (GGA-PBEsol) for a relaxed YSi2Rh crystal.

The space group is Immm (No. 71) and the conventional cell measures 2.9468, 5.1448 and 9.0506 Å, with angles of 90.00, 90.00 and 90.00 degrees. The distinct sites, in fractional coordinates, are Y at (0.0000, 0.0000, 0.0000), Si at (0.0000, 0.5000, 0.2153) and Rh at (0.0000, 0.0000, 0.5000).

The uncorrected formation energy comes out at -0.48 eV/atom. Its mass density is 6.00 Mg/m³.